A geometry-optimized ZrCu2Au structure, computed with PBE-GGA.

a = 6.399 Å, b = 6.399 Å, c = 6.399 Å
α = 90.00°, β = 90.00°, γ = 90.00°
Space group F-43m (No. 216)
One atom of each set of equivalent atoms:
Zr (0.000, 0.000, 0.000)
Cu (0.000, 0.000, 0.500)
Cu (0.250, 0.250, 0.250)
Au (0.250, 0.250, 0.750)

density of states at the Fermi level	4.04	states/eV/f.u.
crystal system	cubic
offset from the most stable computed form	64.8	meV per atom
DFT total energy	-5.20	eV per atom

=====

A geometry-optimized ThBO2 structure, computed with PBE-GGA.

a = 2.8866 Å, b = 2.8866 Å, c = 19.9034 Å
α = 90.00°, β = 90.00°, γ = 120.00°
Space group R-3m (No. 166, hexagonal axes)
One atom of each set of equivalent atoms:
Th (0.0000, 0.0000, 0.0000)
B (0.0000, 0.0000, 0.5000)
O (0.0000, 0.0000, 0.1239)

density of states at the Fermi level	0.64	states/eV/f.u.
formation energy from raw total energies	-0.498	eV per atom
crystal system	trigonal
DFT total energy	-6.50	eV per atom

=====

A geometry-optimized KNd4Bi3O12 structure, computed with PBE-GGA.

a = 8.854 Å, b = 8.854 Å, c = 8.854 Å
α = 90.00°, β = 90.00°, γ = 90.00°
Space group Im-3 (No. 204)
One atom of each set of equivalent atoms:
K (0.000, 0.000, 0.000)
Nd (0.250, 0.250, 0.250)
Bi (0.000, 0.000, 0.500)
O (0.000, 0.179, 0.319)

density of states at the Fermi level	8.49	states/eV/f.u.
formation energy from raw total energies	-2.106	eV per atom
crystal system	cubic
DFT total energy	-6.67	eV per atom

=====

A geometry-optimized YTlCdIn structure, computed with PBE-GGA.

a = 4.577 Å, b = 4.664 Å, c = 4.695 Å
α = 90.00°, β = 90.00°, γ = 90.00°
Space group Pmmm (No. 47)
One atom of each set of equivalent atoms:
Y (0.000, 0.000, 0.000)
Tl (0.500, 0.500, 0.000)
Cd (0.000, 0.500, 0.500)
In (0.500, 0.000, 0.500)

density of states at the Fermi level	2.02	states/eV/f.u.
crystal system	orthorhombic
offset from the most stable computed form	0.0	meV per atom
DFT total energy	-3.44	eV per atom